First-principles (PBE) data for an optimized crystal structure of KAg2, as listed in the Open Quantum Materials Database.

abc: 5.914 5.914 19.785
angles: 90.00 90.00 120.00
Sites, in units of the cell vectors:
Ag: 0.500 0.000 0.000
Ag: 0.000 0.500 0.000
Ag: 0.500 0.500 0.000
Ag: 0.333 0.667 0.124
Ag: 0.168 0.337 0.250
Ag: 0.168 0.832 0.250
Ag: 0.663 0.832 0.250
Ag: 0.333 0.667 0.376
Ag: 0.500 0.000 0.500
Ag: 0.000 0.500 0.500
Ag: 0.500 0.500 0.500
Ag: 0.667 0.333 0.624
Ag: 0.337 0.168 0.750
Ag: 0.832 0.168 0.750
Ag: 0.832 0.663 0.750
Ag: 0.667 0.333 0.876
K: 0.000 0.000 0.094
K: 0.667 0.333 0.157
K: 0.667 0.333 0.343
K: 0.000 0.000 0.406
K: 0.000 0.000 0.594
K: 0.333 0.667 0.657
K: 0.333 0.667 0.843
K: 0.000 0.000 0.906

## Properties
Theoretical density: 5.6 g cm⁻³
Calculated total energy: -2.262 eV per atom